An optimized crystal structure of MnSbOsO. Source: Alexandria, functional GGA+U.

The size of the total moment comes out at 4.521 μB/f.u. For the offset from the most stable computed form, the calculation gives 0.140 eV per atom.

It has space group Cm (No. 8), with a = 6.658 Å, b = 3.790 Å, c = 6.213 Å, α = 90.00°, β = 111.23° and γ = 90.00°. The inequivalent atoms are Mn at (0.000, 0.000, 0.000), Sb at (0.297, 0.500, 0.392), Os at (0.204, 0.000, 0.616) and O at (0.318, 0.000, 0.959).